(1)
## Dy2Ag2Pb (GGA-PBE)

Data for an optimized crystal structure of Dy2Ag2Pb.

For the spin magnetization, the calculation gives 5.348 Bohr magnetons per cell. Its density of states at the Fermi level is 2.0 states/eV/f.u. The calculation puts the formation energy at -0.1498 eV per atom. As for the total energy: -3.87 eV per atom.

The structure belongs to space group Fmmm (No. 69); the cell edges are 5.3635, 5.3767 and 17.8553 Å and the angles 90.00°, 90.00° and 90.00°. Symmetry generates all atoms from Dy at (0.0000, 0.0000, 0.1866), Ag at (0.0000, 0.0000, 0.3965) and Pb at (0.0000, 0.0000, 0.0000).

***

(2)
## Dy4Ag5Pb (GGA-PBE)

Data for an optimized crystal structure of Dy4Ag5Pb.

For the spin magnetization, the calculation gives 0.000 Bohr magnetons per cell. Its density of states at the Fermi level is 6.4 states/eV/f.u. The calculation puts the formation energy at -0.2687 eV per atom. As for the total energy: -3.91 eV per atom.

The structure belongs to space group P4/mmm (No. 123); the cell edges are 3.6854, 3.6854 and 17.6334 Å and the angles 90.00°, 90.00° and 90.00°. Symmetry generates all atoms from Dy at (0.0000, 0.0000, 0.1026), Dy at (0.0000, 0.0000, 0.3053), Ag at (0.5000, 0.5000, 0.0000), Ag at (0.5000, 0.5000, 0.2056), Ag at (0.5000, 0.5000, 0.3968) and Pb at (0.0000, 0.0000, 0.5000).

***

(3)
## Dy3Ag2Pb (GGA-PBE)

Data for an optimized crystal structure of Dy3Ag2Pb.

For the spin magnetization, the calculation gives 0.000 Bohr magnetons per cell. Its density of states at the Fermi level is 4.8 states/eV/f.u. The calculation puts the formation energy at -0.3488 eV per atom. As for the total energy: -4.22 eV per atom.

The structure belongs to space group Cmmm (No. 65); the cell edges are 5.1956, 15.8638 and 3.7203 Å and the angles 90.00°, 90.00° and 90.00°. Symmetry generates all atoms from Dy at (0.0000, 0.0000, 0.0000), Dy at (0.0000, 0.3278, 0.0000), Ag at (0.0000, 0.1717, 0.5000) and Pb at (0.0000, 0.5000, 0.5000).

***

(4)
## Dy3AgPb3 (GGA-PBE)

Data for an optimized crystal structure of Dy3AgPb3.

For the spin magnetization, the calculation gives 0.000 Bohr magnetons per cell. Its density of states at the Fermi level is 4.2 states/eV/f.u. The calculation puts the formation energy at -0.3996 eV per atom. As for the total energy: -4.37 eV per atom.

The structure belongs to space group C2/m (No. 12); the cell edges are 11.6601, 4.5955 and 15.0894 Å and the angles 90.00°, 107.42° and 90.00°. Symmetry generates all atoms from Dy at (0.0269, 0.0000, 0.3817), Dy at (0.0956, 0.0000, 0.9220), Dy at (0.2251, 0.0000, 0.2273), Ag at (0.2209, 0.5000, 0.3772), Pb at (0.0014, 0.5000, 0.7715), Pb at (0.1350, 0.5000, 0.0750) and Pb at (0.1420, 0.5000, 0.5493).

***

(5)
## Pm2DyAg2Pb2 (GGA-PBE)

Data for an optimized crystal structure of Pm2DyAg2Pb2.

For the spin magnetization, the calculation gives 0.000 Bohr magnetons per cell. Its density of states at the Fermi level is 3.3 states/eV/f.u. The calculation puts the formation energy at -0.2533 eV per atom. As for the total energy: -4.14 eV per atom.

The structure belongs to space group R-3m (No. 166, hexagonal axes); the cell edges are 4.9673, 4.9673 and 26.3568 Å and the angles 90.00°, 90.00° and 120.00°. Symmetry generates all atoms from Pm at (0.0000, 0.0000, 0.1353), Dy at (0.0000, 0.0000, 0.0000), Ag at (0.0000, 0.0000, 0.4376) and Pb at (0.0000, 0.0000, 0.2703).

***

(6)
## PmDyAgPb (GGA-PBE)

Data for an optimized crystal structure of PmDyAgPb.

For the spin magnetization, the calculation gives 2.845 Bohr magnetons per cell. Its density of states at the Fermi level is 3.3 states/eV/f.u. The calculation puts the formation energy at -0.4054 eV per atom. As for the total energy: -4.38 eV per atom.

The structure belongs to space group F-43m (No. 216); the cell edges are 7.5622, 7.5622 and 7.5622 Å and the angles 90.00°, 90.00° and 90.00°. Symmetry generates all atoms from Pm at (0.0000, 0.0000, 0.0000), Dy at (0.0000, 0.0000, 0.5000), Ag at (0.2500, 0.2500, 0.2500) and Pb at (0.2500, 0.2500, 0.7500).

***

(7)
## PrDyAgPb (GGA-PBE)

Data for an optimized crystal structure of PrDyAgPb.

For the spin magnetization, the calculation gives 2.750 Bohr magnetons per cell. Its density of states at the Fermi level is 3.4 states/eV/f.u. The calculation puts the formation energy at -0.4009 eV per atom. As for the total energy: -4.39 eV per atom.

The structure belongs to space group F-43m (No. 216); the cell edges are 7.6195, 7.6195 and 7.6195 Å and the angles 90.00°, 90.00° and 90.00°. Symmetry generates all atoms from Pr at (0.0000, 0.0000, 0.0000), Dy at (0.0000, 0.0000, 0.5000), Ag at (0.2500, 0.2500, 0.2500) and Pb at (0.2500, 0.2500, 0.7500).

***

(8)
## Pr2DyAg2Pb2 (GGA-PBE)

Data for an optimized crystal structure of Pr2DyAg2Pb2.

For the spin magnetization, the calculation gives 0.000 Bohr magnetons per cell. Its density of states at the Fermi level is 3.6 states/eV/f.u. The calculation puts the formation energy at -0.2426 eV per atom. As for the total energy: -4.14 eV per atom.

The structure belongs to space group R-3m (No. 166, hexagonal axes); the cell edges are 4.9707, 4.9707 and 26.7296 Å and the angles 90.00°, 90.00° and 120.00°. Symmetry generates all atoms from Pr at (0.0000, 0.0000, 0.1357), Dy at (0.0000, 0.0000, 0.0000), Ag at (0.0000, 0.0000, 0.4325) and Pb at (0.0000, 0.0000, 0.2718).

***

(9)
## DyAgPtPb (GGA-PBE)

Data for an optimized crystal structure of DyAgPtPb.

For the spin magnetization, the calculation gives 0.000 Bohr magnetons per cell. Its density of states at the Fermi level is 3.0 states/eV/f.u. The calculation puts the formation energy at -0.5226 eV per atom. As for the total energy: -4.82 eV per atom.

The structure belongs to space group F-43m (No. 216); the cell edges are 7.0255, 7.0255 and 7.0255 Å and the angles 90.00°, 90.00° and 90.00°. Symmetry generates all atoms from Dy at (0.0000, 0.0000, 0.0000), Ag at (0.2500, 0.2500, 0.7500), Pt at (0.2500, 0.2500, 0.2500) and Pb at (0.0000, 0.0000, 0.5000).

***

(10)
## DyPuAgPb (GGA-PBE)

Data for an optimized crystal structure of DyPuAgPb.

For the spin magnetization, the calculation gives 24.912 Bohr magnetons per cell. Its density of states at the Fermi level is 9.9 states/eV/f.u. The calculation puts the formation energy at -0.1986 eV per atom. As for the total energy: -6.57 eV per atom.

The structure belongs to space group F-43m (No. 216); the cell edges are 7.5235, 7.5235 and 7.5235 Å and the angles 90.00°, 90.00° and 90.00°. Symmetry generates all atoms from Dy at (0.0000, 0.0000, 0.0000), Pu at (0.0000, 0.0000, 0.5000), Ag at (0.2500, 0.2500, 0.2500) and Pb at (0.2500, 0.2500, 0.7500).

***

(11)
## DyAgRhPb (GGA-PBE)

Data for an optimized crystal structure of DyAgRhPb.

For the spin magnetization, the calculation gives 0.000 Bohr magnetons per cell. Its density of states at the Fermi level is 2.8 states/eV/f.u. The calculation puts the formation energy at -0.3449 eV per atom. As for the total energy: -4.97 eV per atom.

The structure belongs to space group F-43m (No. 216); the cell edges are 6.9312, 6.9312 and 6.9312 Å and the angles 90.00°, 90.00° and 90.00°. Symmetry generates all atoms from Dy at (0.0000, 0.0000, 0.0000), Ag at (0.2500, 0.2500, 0.7500), Rh at (0.2500, 0.2500, 0.2500) and Pb at (0.0000, 0.0000, 0.5000).

***

(12)
## DyAgPbS3 (GGA-PBE)

Data for an optimized crystal structure of DyAgPbS3.

For the spin magnetization, the calculation gives 0.000 Bohr magnetons per cell. The value obtained for the energy relative to the elements, uncorrected is -23.6 kcal/mol of atoms. As for the total energy: -4.95 eV per atom.

The structure belongs to space group P2_1/m (No. 11); the cell edges are 8.2290, 4.0279 and 8.8658 Å and the angles 90.00°, 103.16° and 90.00°. Symmetry generates all atoms from Dy at (0.1729, 0.2500, 0.1672), Ag at (0.4042, 0.7500, 0.4126), Pb at (0.3030, 0.7500, 0.7667), S at (0.0628, 0.2500, 0.8465), S at (0.2443, 0.2500, 0.4876) and S at (0.3894, 0.7500, 0.1238).

***

(13)
## DyScAgPb (GGA-PBE)

Data for an optimized crystal structure of DyScAgPb.

For the spin magnetization, the calculation gives 3.328 Bohr magnetons per cell. Its density of states at the Fermi level is 3.3 states/eV/f.u. The calculation puts the formation energy at -0.3536 eV per atom. As for the total energy: -4.73 eV per atom.

The structure belongs to space group F-43m (No. 216); the cell edges are 7.2817, 7.2817 and 7.2817 Å and the angles 90.00°, 90.00° and 90.00°. Symmetry generates all atoms from Dy at (0.0000, 0.0000, 0.0000), Sc at (0.0000, 0.0000, 0.5000), Ag at (0.2500, 0.2500, 0.2500) and Pb at (0.2500, 0.2500, 0.7500).

***

(14)
## DyAgPb2Se4 (GGA-PBE)

Data for an optimized crystal structure of DyAgPb2Se4.

For the spin magnetization, the calculation gives 0.000 Bohr magnetons per cell. The value obtained for the energy relative to the elements, uncorrected is -19.2 kcal/mol of atoms. As for the total energy: -4.44 eV per atom.

The structure belongs to space group P2/m (No. 10); the cell edges are 7.2777, 4.2281 and 7.4573 Å and the angles 90.00°, 109.46° and 90.00°. Symmetry generates all atoms from Dy at (0.0000, 0.0000, 0.0000), Ag at (0.5000, 0.5000, 0.0000), Pb at (0.0000, 0.5000, 0.5000), Pb at (0.5000, 0.0000, 0.5000), Se at (0.2375, 0.5000, 0.2300) and Se at (0.2555, 0.0000, 0.7738).

***

(15)
## DyAg2PbSe4 (GGA-PBE)

Data for an optimized crystal structure of DyAg2PbSe4.

For the spin magnetization, the calculation gives 0.000 Bohr magnetons per cell. Its density of states at the Fermi level is 3.6 states/eV/f.u. The value obtained for the energy relative to the elements, uncorrected is -16.0 kcal/mol of atoms. As for the total energy: -4.19 eV per atom.

The structure belongs to space group P2/m (No. 10); the cell edges are 6.9071, 4.1753 and 7.2650 Å and the angles 90.00°, 109.89° and 90.00°. Symmetry generates all atoms from Dy at (0.0000, 0.0000, 0.0000), Ag at (0.5000, 0.0000, 0.5000), Ag at (0.5000, 0.5000, 0.0000), Pb at (0.0000, 0.5000, 0.5000), Se at (0.2539, 0.5000, 0.2404) and Se at (0.2645, 0.0000, 0.7626).

***

(16)
## Dy2AgPb3Se6 (GGA-PBE)

Data for an optimized crystal structure of Dy2AgPb3Se6.

For the spin magnetization, the calculation gives 1.379 Bohr magnetons per cell. Its density of states at the Fermi level is 4.3 states/eV/f.u. The value obtained for the energy relative to the elements, uncorrected is -21.3 kcal/mol of atoms. As for the total energy: -4.60 eV per atom.

The structure belongs to space group C2/m (No. 12); the cell edges are 19.7903, 4.1739 and 8.5122 Å and the angles 90.00°, 111.07° and 90.00°. Symmetry generates all atoms from Dy at (0.1613, 0.0000, 0.3031), Ag at (0.0000, 0.5000, 0.0000), Pb at (0.0000, 0.5000, 0.5000), Pb at (0.1534, 0.0000, 0.8002), Se at (0.0110, 0.0000, 0.2338), Se at (0.1755, 0.5000, 0.0824) and Se at (0.1808, 0.5000, 0.5497).

***

(17)
## SmDyAgPb (GGA-PBE)

Data for an optimized crystal structure of SmDyAgPb.

For the spin magnetization, the calculation gives 2.859 Bohr magnetons per cell. Its density of states at the Fermi level is 3.3 states/eV/f.u. The calculation puts the formation energy at -0.4033 eV per atom. As for the total energy: -4.37 eV per atom.

The structure belongs to space group F-43m (No. 216); the cell edges are 7.5430, 7.5430 and 7.5430 Å and the angles 90.00°, 90.00° and 90.00°. Symmetry generates all atoms from Sm at (0.0000, 0.0000, 0.0000), Dy at (0.0000, 0.0000, 0.5000), Ag at (0.2500, 0.2500, 0.7500) and Pb at (0.2500, 0.2500, 0.2500).

***

(18)
## TbDyAgPb (GGA-PBE)

Data for an optimized crystal structure of TbDyAgPb.

For the spin magnetization, the calculation gives 2.717 Bohr magnetons per cell. Its density of states at the Fermi level is 3.4 states/eV/f.u. The calculation puts the formation energy at -0.3972 eV per atom. As for the total energy: -4.35 eV per atom.

The structure belongs to space group F-43m (No. 216); the cell edges are 7.4830, 7.4830 and 7.4830 Å and the angles 90.00°, 90.00° and 90.00°. Symmetry generates all atoms from Tb at (0.0000, 0.0000, 0.0000), Dy at (0.0000, 0.0000, 0.5000), Ag at (0.2500, 0.2500, 0.2500) and Pb at (0.2500, 0.2500, 0.7500).

***

(19)
## DyAgTe3Pb (GGA-PBE)

Data for an optimized crystal structure of DyAgTe3Pb.

For the spin magnetization, the calculation gives 0.000 Bohr magnetons per cell. The value obtained for the energy relative to the elements, uncorrected is -16.7 kcal/mol of atoms. As for the total energy: -4.16 eV per atom.

The structure belongs to space group P2_1/m (No. 11); the cell edges are 8.9212, 4.3740 and 9.9848 Å and the angles 90.00°, 104.38° and 90.00°. Symmetry generates all atoms from Dy at (0.1783, 0.2500, 0.1725), Ag at (0.4170, 0.7500, 0.4142), Te at (0.0719, 0.2500, 0.8485), Te at (0.2393, 0.2500, 0.4887), Te at (0.4067, 0.7500, 0.1283) and Pb at (0.3055, 0.7500, 0.7502).

***

(20)
## DyAgTe4Pb2 (GGA-PBE)

Data for an optimized crystal structure of DyAgTe4Pb2.

For the spin magnetization, the calculation gives 0.000 Bohr magnetons per cell. The value obtained for the energy relative to the elements, uncorrected is -13.8 kcal/mol of atoms. As for the total energy: -4.03 eV per atom.

The structure belongs to space group P2/m (No. 10); the cell edges are 7.7591, 4.4766 and 7.8736 Å and the angles 90.00°, 109.70° and 90.00°. Symmetry generates all atoms from Dy at (0.0000, 0.0000, 0.0000), Ag at (0.5000, 0.5000, 0.0000), Te at (0.2423, 0.5000, 0.2340), Te at (0.2605, 0.0000, 0.7747), Pb at (0.0000, 0.5000, 0.5000) and Pb at (0.5000, 0.0000, 0.5000).